# ScTl2Sn | Alexandria via LeMat-Bulk | GGA-PBE | relaxed
data_ScTl2Sn
_cell_length_a 4.603
_cell_length_b 4.603
_cell_length_c 4.793
_cell_angle_alpha 90.00
_cell_angle_beta 90.00
_cell_angle_gamma 90.00
_symmetry_space_group_name_H-M 'P 4/m m m'
_symmetry_Int_Tables_number 123
_symmetry_space_group_name_Hall '-P 4 2'
loop_
_atom_site_label
_atom_site_type_symbol
_atom_site_fract_x
_atom_site_fract_y
_atom_site_fract_z
Sc1 Sc 0.000 0.000 0.000
Tl1 Tl 0.000 0.500 0.500
Sn1 Sn 0.500 0.500 0.000
# * formation energy: -140 meV per atom
# * volume: 25.38 Å³/atom
# * Fermi-level density of states: 0.7683 states/eV per atom